DFT (PBE+U) results for a relaxed structure of Li2CrPO4F.

abc: 5.313 5.564 7.566
angles: 107.62 106.92 94.31
Fractional positions:
Li 0.124 0.537 0.099
Li 0.526 0.212 0.858
Li 0.502 0.888 0.472
Li 0.749 0.445 0.644
Cr 0.001 0.003 0.022
Cr 0.007 0.996 0.510
P 0.646 0.336 0.254
P 0.360 0.675 0.791
O 0.697 0.146 0.369
O 0.316 0.860 0.669
O 0.363 0.397 0.668
O 0.124 0.671 0.877
O 0.838 0.324 0.130
O 0.636 0.779 0.952
O 0.690 0.605 0.409
O 0.357 0.266 0.101
F 0.828 0.127 0.723
F 0.162 0.862 0.292

Calculated total energy in eV/atom: -6.59
Volume in Å³ per atom: 11.15


DFT (PBE+U) results for a relaxed structure of LiCrPO4F.

abc: 6.190 10.813 11.025
angles: 90.86 90.07 90.01
Fractional positions:
Li 0.248 0.217 0.890
Li 0.557 0.259 0.658
Li 0.255 0.409 0.221
Li 0.253 0.719 0.597
Li 0.968 0.715 0.813
Li 0.505 0.769 0.330
Li 0.757 0.782 0.099
Li 0.236 0.965 0.265
Cr 0.998 0.002 0.998
Cr 0.506 0.001 0.995
Cr 0.990 0.005 0.504
Cr 0.496 0.999 0.504
Cr 0.996 0.496 0.503
Cr 0.502 0.497 0.500
Cr 0.004 0.500 0.002
Cr 0.510 0.503 0.999
P 0.739 0.053 0.259
P 0.753 0.244 0.916
P 0.246 0.259 0.436
P 0.263 0.464 0.762
P 0.749 0.542 0.243
P 0.748 0.743 0.573
P 0.258 0.764 0.078
P 0.236 0.949 0.739
O 0.247 0.009 0.875
O 0.037 0.007 0.679
O 0.447 0.995 0.679
O 0.248 0.120 0.485
O 0.716 0.188 0.248
O 0.545 0.180 0.965
O 0.960 0.180 0.970
O 0.759 0.252 0.781
O 0.250 0.260 0.301
O 0.042 0.319 0.494
O 0.452 0.319 0.498
O 0.276 0.325 0.755
O 0.755 0.380 0.978
O 0.547 0.486 0.178
O 0.960 0.495 0.181
O 0.750 0.491 0.377
O 0.255 0.520 0.627
O 0.056 0.518 0.825
O 0.463 0.522 0.825
O 0.256 0.623 0.034
O 0.734 0.683 0.244
O 0.541 0.684 0.509
O 0.957 0.679 0.523
O 0.734 0.744 0.708
O 0.261 0.782 0.214
O 0.047 0.819 0.020
O 0.463 0.821 0.020
O 0.217 0.809 0.747
O 0.748 0.878 0.515
O 0.543 0.982 0.321
O 0.948 0.003 0.323
O 0.750 0.986 0.123
F 0.253 0.037 0.104
F 0.736 0.114 0.526
F 0.256 0.388 0.019
F 0.745 0.470 0.608
F 0.249 0.525 0.393
F 0.762 0.619 0.988
F 0.243 0.886 0.477
F 0.755 0.961 0.893

Calculated total energy in eV/atom: -6.85
Volume in Å³ per atom: 11.53


DFT (PBE+U) results for a relaxed structure of LiCrPO4F.

abc: 6.285 10.660 12.791
angles: 90.00 90.00 90.00
Fractional positions:
Li 0.502 0.735 0.391
Li 0.081 0.549 0.524
Li 0.419 0.549 0.024
Li 0.998 0.735 0.891
Li 0.002 0.235 0.109
Li 0.581 0.049 0.976
Li 0.919 0.049 0.476
Li 0.498 0.235 0.609
Cr 0.978 0.233 0.882
Cr 0.232 0.992 0.742
Cr 0.268 0.992 0.242
Cr 0.522 0.233 0.382
Cr 0.478 0.733 0.618
Cr 0.732 0.492 0.758
Cr 0.768 0.492 0.258
Cr 0.022 0.733 0.118
P 0.024 0.238 0.315
P 0.163 0.986 0.994
P 0.337 0.986 0.494
P 0.476 0.238 0.815
P 0.524 0.738 0.185
P 0.663 0.486 0.506
P 0.837 0.486 0.006
P 0.976 0.738 0.685
O 0.994 0.094 0.992
O 0.045 0.858 0.001
O 0.034 0.850 0.757
O 0.069 0.134 0.232
O 0.177 0.005 0.586
O 0.163 0.698 0.612
O 0.213 0.263 0.388
O 0.194 0.987 0.396
O 0.306 0.987 0.896
O 0.287 0.263 0.888
O 0.337 0.698 0.112
O 0.323 0.005 0.086
O 0.431 0.134 0.732
O 0.466 0.850 0.257
O 0.455 0.858 0.501
O 0.506 0.094 0.492
O 0.494 0.594 0.508
O 0.545 0.358 0.499
O 0.534 0.350 0.743
O 0.569 0.634 0.268
O 0.677 0.505 0.914
O 0.663 0.198 0.888
O 0.713 0.763 0.112
O 0.694 0.487 0.104
O 0.806 0.487 0.604
O 0.787 0.763 0.612
O 0.837 0.198 0.388
O 0.823 0.505 0.414
O 0.931 0.634 0.768
O 0.966 0.350 0.243
O 0.955 0.358 0.999
O 0.006 0.594 0.008
F 0.999 0.111 0.767
F 0.040 0.870 0.220
F 0.460 0.870 0.720
F 0.501 0.111 0.267
F 0.499 0.611 0.733
F 0.540 0.370 0.280
F 0.960 0.370 0.780
F 0.001 0.611 0.233

Calculated total energy in eV/atom: -6.90
Volume in Å³ per atom: 13.39


DFT (PBE+U) results for a relaxed structure of Li2CrPO4F.

abc: 5.512 5.606 7.619
angles: 108.66 107.46 91.56
Fractional positions:
Cr 0.005 0.980 0.988
Cr 0.506 0.481 0.501
Li 0.179 0.485 0.856
Li 0.006 0.661 0.510
Li 0.017 0.158 0.412
Li 0.810 0.473 0.121
P 0.586 0.863 0.236
P 0.420 0.100 0.761
O 0.307 0.791 0.095
O 0.646 0.138 0.383
O 0.651 0.664 0.342
O 0.792 0.832 0.128
O 0.250 0.160 0.895
O 0.337 0.283 0.639
O 0.357 0.820 0.623
O 0.709 0.176 0.884
F 0.918 0.610 0.714
F 0.072 0.389 0.299

Calculated total energy in eV/atom: -6.57
Volume in Å³ per atom: 11.71


DFT (PBE+U) results for a relaxed structure of LiCrPO4F.

abc: 5.196 5.355 7.279
angles: 106.95 108.38 98.26
Fractional positions:
Li 0.273 0.615 0.190
Li 0.727 0.385 0.810
Cr 0.000 0.000 0.000
Cr 0.000 0.000 0.500
P 0.321 0.643 0.762
P 0.679 0.357 0.238
O 0.307 0.341 0.657
O 0.693 0.659 0.343
O 0.371 0.243 0.080
O 0.746 0.212 0.394
O 0.629 0.757 0.920
O 0.254 0.788 0.606
O 0.119 0.665 0.884
O 0.881 0.335 0.116
F 0.128 0.933 0.264
F 0.872 0.067 0.736

Calculated total energy in eV/atom: -6.93
Volume in Å³ per atom: 11.10


DFT (PBE+U) results for a relaxed structure of Li2VCrP2O8F2.

abc: 6.943 7.358 7.993
angles: 90.71 91.72 117.70
Fractional positions:
Li 0.442 0.190 0.828
Li 0.946 0.185 0.328
Li 0.054 0.815 0.672
Li 0.558 0.810 0.172
V 0.000 0.500 0.000
V 0.500 0.000 0.500
Cr 0.000 0.000 0.000
Cr 0.500 0.500 0.500
P 0.484 0.765 0.840
P 0.980 0.762 0.339
P 0.020 0.238 0.661
P 0.516 0.235 0.160
O 0.980 0.392 0.767
O 0.808 0.083 0.563
O 0.693 0.920 0.938
O 0.325 0.656 0.982
O 0.522 0.612 0.731
O 0.824 0.659 0.483
O 0.107 0.115 0.772
O 0.604 0.111 0.269
O 0.396 0.889 0.731
O 0.893 0.885 0.228
O 0.176 0.341 0.517
O 0.478 0.388 0.269
O 0.675 0.344 0.018
O 0.307 0.080 0.062
O 0.192 0.917 0.437
O 0.020 0.608 0.233
F 0.969 0.741 0.900
F 0.531 0.269 0.600
F 0.469 0.731 0.400
F 0.031 0.259 0.100

Calculated total energy in eV/atom: -6.95
Volume in Å³ per atom: 11.29


DFT (PBE+U) results for a relaxed structure of Li2VCrP2O8F2.

abc: 5.370 7.405 14.558
angles: 94.37 92.66 109.70
Fractional positions:
Li 0.601 0.217 0.027
Li 0.729 0.116 0.308
Li 0.929 0.546 0.364
Li 0.069 0.450 0.637
Li 0.266 0.884 0.694
Li 0.405 0.786 0.969
V 0.000 0.000 0.999
V 0.665 0.667 0.167
V 0.667 0.667 0.666
Cr 0.333 0.333 0.335
Cr 0.001 0.999 0.500
Cr 0.334 0.334 0.833
P 0.026 0.382 0.149
P 0.307 0.952 0.187
P 0.638 0.279 0.520
P 0.360 0.718 0.480
P 0.693 0.054 0.813
P 0.975 0.615 0.852
O 0.932 0.177 0.096
O 0.296 0.507 0.121
O 0.803 0.460 0.119
O 0.305 0.970 0.080
O 0.402 0.158 0.238
O 0.031 0.365 0.256
O 0.035 0.827 0.214
O 0.528 0.873 0.218
O 0.631 0.296 0.412
O 0.265 0.511 0.430
O 0.133 0.792 0.449
O 0.369 0.154 0.548
O 0.631 0.843 0.452
O 0.867 0.207 0.549
O 0.732 0.486 0.571
O 0.365 0.701 0.587
O 0.465 0.126 0.783
O 0.964 0.180 0.786
O 0.971 0.635 0.746
O 0.601 0.847 0.762
O 0.698 0.035 0.920
O 0.203 0.542 0.883
O 0.705 0.489 0.880
O 0.068 0.821 0.904
F 0.707 0.779 0.044
F 0.048 0.115 0.379
F 0.618 0.549 0.292
F 0.374 0.445 0.713
F 0.959 0.889 0.620
F 0.293 0.224 0.954

Calculated total energy in eV/atom: -6.95
Volume in Å³ per atom: 11.29


DFT (PBE+U) results for a relaxed structure of Li2VCrP2O8F2.

abc: 5.214 7.358 10.515
angles: 104.16 97.41 108.62
Fractional positions:
Li 0.537 0.625 0.808
Li 0.035 0.117 0.308
Li 0.965 0.883 0.692
Li 0.463 0.375 0.192
V 0.500 0.500 0.500
V 0.000 0.500 0.000
Cr 0.000 0.000 0.000
Cr 0.500 0.000 0.500
P 0.499 0.058 0.821
P 0.000 0.558 0.321
P 0.000 0.442 0.679
P 0.501 0.942 0.179
O 0.712 0.948 0.833
O 0.206 0.443 0.332
O 0.640 0.284 0.894
O 0.365 0.012 0.671
O 0.143 0.783 0.395
O 0.865 0.516 0.171
O 0.248 0.958 0.878
O 0.746 0.459 0.377
O 0.254 0.541 0.623
O 0.752 0.042 0.122
O 0.135 0.484 0.829
O 0.857 0.217 0.605
O 0.635 0.988 0.329
O 0.360 0.716 0.106
O 0.794 0.557 0.668
O 0.288 0.052 0.167
F 0.834 0.706 0.965
F 0.334 0.196 0.466
F 0.666 0.804 0.534
F 0.166 0.294 0.035

Calculated total energy in eV/atom: -6.95
Volume in Å³ per atom: 11.29


DFT (PBE+U) results for a relaxed structure of Li2VCrP2O8F2.

abc: 5.217 7.355 14.961
angles: 93.86 92.32 108.58
Fractional positions:
Li 0.932 0.015 0.205
Li 0.734 0.648 0.460
Li 0.399 0.311 0.128
Li 0.601 0.689 0.872
Li 0.266 0.352 0.540
Li 0.068 0.985 0.795
V 0.000 0.500 0.000
V 0.668 0.667 0.666
V 0.332 0.333 0.334
Cr 0.000 0.000 0.000
Cr 0.666 0.167 0.667
Cr 0.334 0.833 0.333
P 0.893 0.451 0.214
P 0.773 0.214 0.453
P 0.559 0.117 0.881
P 0.441 0.883 0.119
P 0.227 0.786 0.547
P 0.107 0.549 0.786
O 0.989 0.348 0.737
O 0.861 0.211 0.553
O 0.768 0.003 0.888
O 0.654 0.013 0.405
O 0.807 0.458 0.114
O 0.955 0.669 0.584
O 0.906 0.668 0.778
O 0.620 0.334 0.251
O 0.676 0.320 0.929
O 0.571 0.334 0.445
O 0.474 0.122 0.781
O 0.710 0.001 0.081
O 0.290 0.999 0.919
O 0.526 0.878 0.219
O 0.429 0.666 0.555
O 0.324 0.680 0.071
O 0.380 0.666 0.749
O 0.094 0.332 0.222
O 0.045 0.331 0.416
O 0.193 0.542 0.886
O 0.346 0.987 0.595
O 0.232 0.997 0.112
O 0.139 0.789 0.447
O 0.011 0.652 0.263
F 0.846 0.718 0.977
F 0.821 0.960 0.690
F 0.513 0.375 0.644
F 0.487 0.625 0.356
F 0.179 0.040 0.310
F 0.154 0.282 0.023

Calculated total energy in eV/atom: -6.95
Volume in Å³ per atom: 11.29


What did the second record say?
DFT (PBE+U) results for a relaxed structure of LiCrPO4F.

abc: 6.190 10.813 11.025
angles: 90.86 90.07 90.01
Fractional positions:
Li 0.248 0.217 0.890
Li 0.557 0.259 0.658
Li 0.255 0.409 0.221
Li 0.253 0.719 0.597
Li 0.968 0.715 0.813
Li 0.505 0.769 0.330
Li 0.757 0.782 0.099
Li 0.236 0.965 0.265
Cr 0.998 0.002 0.998
Cr 0.506 0.001 0.995
Cr 0.990 0.005 0.504
Cr 0.496 0.999 0.504
Cr 0.996 0.496 0.503
Cr 0.502 0.497 0.500
Cr 0.004 0.500 0.002
Cr 0.510 0.503 0.999
P 0.739 0.053 0.259
P 0.753 0.244 0.916
P 0.246 0.259 0.436
P 0.263 0.464 0.762
P 0.749 0.542 0.243
P 0.748 0.743 0.573
P 0.258 0.764 0.078
P 0.236 0.949 0.739
O 0.247 0.009 0.875
O 0.037 0.007 0.679
O 0.447 0.995 0.679
O 0.248 0.120 0.485
O 0.716 0.188 0.248
O 0.545 0.180 0.965
O 0.960 0.180 0.970
O 0.759 0.252 0.781
O 0.250 0.260 0.301
O 0.042 0.319 0.494
O 0.452 0.319 0.498
O 0.276 0.325 0.755
O 0.755 0.380 0.978
O 0.547 0.486 0.178
O 0.960 0.495 0.181
O 0.750 0.491 0.377
O 0.255 0.520 0.627
O 0.056 0.518 0.825
O 0.463 0.522 0.825
O 0.256 0.623 0.034
O 0.734 0.683 0.244
O 0.541 0.684 0.509
O 0.957 0.679 0.523
O 0.734 0.744 0.708
O 0.261 0.782 0.214
O 0.047 0.819 0.020
O 0.463 0.821 0.020
O 0.217 0.809 0.747
O 0.748 0.878 0.515
O 0.543 0.982 0.321
O 0.948 0.003 0.323
O 0.750 0.986 0.123
F 0.253 0.037 0.104
F 0.736 0.114 0.526
F 0.256 0.388 0.019
F 0.745 0.470 0.608
F 0.249 0.525 0.393
F 0.762 0.619 0.988
F 0.243 0.886 0.477
F 0.755 0.961 0.893

Calculated total energy in eV/atom: -6.85
Volume in Å³ per atom: 11.53


> The lowest volume belongs to which entry?

number 5


> calculated total energy of number 9 (Li2VCrP2O8F2)?

-6.95 eV/atom